*a*
Ga2BiPd8: relaxed, GGA-PBE.

spin magnetization = 0.00 μB/cell

a = 4.0472 Å, b = 6.4951 Å, c = 7.4901 Å
α = 108.57°, β = 105.67°, γ = 90.00°
Positions (direct):
Bi 0.5000 0.0000 0.0000
Pd 0.4003 0.5206 0.8006
Pd 0.8265 0.7377 0.6530
Pd 0.0362 0.7305 0.0724
Pd 0.9638 0.2695 0.9276
Pd 0.3215 0.0632 0.6430
Pd 0.1735 0.2623 0.3470
Pd 0.5997 0.4794 0.1994
Pd 0.6785 0.9368 0.3570
Ga 0.2050 0.6738 0.4101
Ga 0.7950 0.3262 0.5899



*b*
Ga2BiPd8: relaxed, GGA-PBE.

spin magnetization = 0.00 μB/cell

a = 4.4133 Å, b = 6.2614 Å, c = 7.5728 Å
α = 113.86°, β = 106.11°, γ = 91.89°
Positions (direct):
Ga 0.7850 0.6151 0.2349
Ga 0.4590 0.2901 0.5840
Pd 0.6654 0.2350 0.9092
Pd 0.2930 0.3591 0.2358
Pd 0.7626 0.0043 0.1722
Pd 0.9210 0.4486 0.5042
Pd 0.1878 0.4969 0.9090
Pd 0.3269 0.8543 0.3141
Pd 0.4981 0.7414 0.6453
Pd 0.9669 0.0320 0.5823
Bi 0.1344 0.9233 0.9090



The computed energies, referenced to the most stable structure and given in meV per atom, are *a* 0; *b* 41.



*a*
Ga2BiPd2: relaxed, GGA-PBE.

spin magnetization = 0.00 μB/cell

a = 4.3212 Å, b = 4.3212 Å, c = 6.0100 Å
α = 68.93°, β = 68.93°, γ = 90.00°
Positions (direct):
Pd 0.2500 0.7500 0.5000
Pd 0.7500 0.2500 0.5000
Ga 0.6207 0.6207 0.7586
Ga 0.3793 0.3793 0.2414
Bi 0.0000 0.0000 0.0000



*b*
Ga2BiPd2: relaxed, GGA-PBE.

spin magnetization = 0.00 μB/cell

a = 3.8599 Å, b = 3.8599 Å, c = 6.9061 Å
α = 73.77°, β = 73.77°, γ = 90.00°
Positions (direct):
Ga 0.2500 0.7500 0.5000
Ga 0.7500 0.2500 0.5000
Pd 0.3852 0.3852 0.2296
Pd 0.6148 0.6148 0.7704
Bi 0.0000 0.0000 0.0000



The computed energies, referenced to the most stable structure and given in meV per atom, are *a* 57; *b* 0.



*a*
Ga2BiPd2: relaxed, GGA-PBE.

spin magnetization = 0.00 μB/cell

a = 7.7396 Å, b = 7.7396 Å, c = 3.0626 Å
α = 90.00°, β = 90.00°, γ = 90.00°
Positions (direct):
Pd 0.1422 0.3578 0.0000
Pd 0.6422 0.1422 0.0000
Pd 0.3578 0.8578 0.0000
Pd 0.8578 0.6422 0.0000
Ga 0.8510 0.3510 0.5000
Ga 0.3510 0.1490 0.5000
Ga 0.6490 0.8510 0.5000
Ga 0.1490 0.6490 0.5000
Bi 0.0000 0.0000 0.0000
Bi 0.5000 0.5000 0.0000



*b*
Ga2BiPd2: relaxed, GGA-PBE.

spin magnetization = 0.00 μB/cell

a = 7.8710 Å, b = 7.8710 Å, c = 2.9608 Å
α = 90.00°, β = 90.00°, γ = 90.00°
Positions (direct):
Pd 0.3326 0.1674 0.5000
Pd 0.1674 0.6674 0.5000
Pd 0.6674 0.8326 0.5000
Pd 0.8326 0.3326 0.5000
Bi 0.5000 0.5000 0.0000
Bi 0.0000 0.0000 0.0000
Ga 0.1241 0.3759 0.0000
Ga 0.8759 0.6241 0.0000
Ga 0.3759 0.8759 0.0000
Ga 0.6241 0.1241 0.0000



The computed energies, referenced to the most stable structure and given in meV per atom, are *a* 0; *b* 47.



*a*
GaBiPd: relaxed, GGA-PBE.

spin magnetization = 0.00 μB/cell

a = 3.3154 Å, b = 3.3154 Å, c = 6.2022 Å
α = 105.50°, β = 105.50°, γ = 90.00°
Positions (direct):
Ga 0.2973 0.2973 0.5946
Pd 0.6934 0.6934 0.3867
Bi 0.0094 0.0094 0.0187



*b*
GaBiPd: relaxed, GGA-PBE.

spin magnetization = 0.00 μB/cell

a = 4.5812 Å, b = 4.5812 Å, c = 4.5812 Å
α = 60.00°, β = 60.00°, γ = 60.00°
Positions (direct):
Pd 0.2500 0.2500 0.2500
Ga 0.0000 0.0000 0.0000
Bi 0.5000 0.5000 0.5000



The computed energies, referenced to the most stable structure and given in meV per atom, are *a* 53; *b* 0.



*a*
GaBiPd6: relaxed, GGA-PBE.

spin magnetization = 0.00 μB/cell

a = 4.0529 Å, b = 4.0529 Å, c = 7.9703 Å
α = 90.00°, β = 90.00°, γ = 90.00°
Positions (direct):
Pd 0.0000 0.5000 0.7348
Pd 0.5000 0.5000 0.0000
Pd 0.5000 0.0000 0.7348
Pd 0.5000 0.5000 0.5000
Pd 0.0000 0.5000 0.2652
Pd 0.5000 0.0000 0.2652
Ga 0.0000 0.0000 0.5000
Bi 0.0000 0.0000 0.0000



*b*
GaBiPd6: relaxed, GGA-PBE.

spin magnetization = 0.00 μB/cell

a = 4.6988 Å, b = 4.6988 Å, c = 7.4970 Å
α = 73.20°, β = 73.20°, γ = 71.50°
Positions (direct):
Pd 0.0753 0.5658 0.2891
Pd 0.4342 0.9247 0.7109
Pd 0.9247 0.4342 0.7109
Pd 0.6587 0.6587 0.0493
Pd 0.3413 0.3413 0.9507
Pd 0.5658 0.0753 0.2891
Ga 0.0000 0.0000 0.0000
Bi 0.5000 0.5000 0.5000



The computed energies, referenced to the most stable structure and given in meV per atom, are *a* 0; *b* 169.



*a*
GaBi2Pd8: relaxed, GGA-PBE.

spin magnetization = 0.00 μB/cell

a = 4.3287 Å, b = 6.0878 Å, c = 7.7770 Å
α = 103.87°, β = 106.16°, γ = 90.00°
Positions (direct):
Bi 0.7996 0.3307 0.5991
Bi 0.2004 0.6693 0.4009
Pd 0.9719 0.2354 0.9437
Pd 0.6614 0.9208 0.3228
Pd 0.0281 0.7646 0.0563
Pd 0.1552 0.2029 0.3105
Pd 0.4174 0.5681 0.8349
Pd 0.5826 0.4319 0.1651
Pd 0.8448 0.7971 0.6895
Pd 0.3386 0.0792 0.6772
Ga 0.5000 0.0000 0.0000



*b*
GaBi2Pd8: relaxed, GGA-PBE.

spin magnetization = 0.00 μB/cell

a = 4.6068 Å, b = 6.0385 Å, c = 7.9261 Å
α = 112.39°, β = 106.89°, γ = 90.00°
Positions (direct):
Bi 0.8240 0.3240 0.6480
Bi 0.1760 0.6760 0.3520
Pd 0.6380 0.3940 0.2760
Pd 0.3620 0.6060 0.7240
Pd 0.0000 0.2381 0.0000
Pd 0.3620 0.1180 0.7240
Pd 0.6380 0.8820 0.2760
Pd 0.1802 0.1802 0.3605
Pd 0.8198 0.8198 0.6395
Pd 0.0000 0.7619 0.0000
Ga 0.5000 0.0000 0.0000



The computed energies, referenced to the most stable structure and given in meV per atom, are *a* 0; *b* 25.



*a*
GaBiPd3: relaxed, GGA-PBE.

spin magnetization = 0.00 μB/cell

a = 4.6891 Å, b = 4.6891 Å, c = 4.6891 Å
α = 90.00°, β = 90.00°, γ = 90.00°
Positions (direct):
Pd 0.0000 0.5000 0.0000
Pd 0.0000 0.0000 0.5000
Pd 0.5000 0.0000 0.0000
Bi 0.5000 0.5000 0.5000
Ga 0.0000 0.0000 0.0000



*b*
GaBiPd3: relaxed, GGA-PBE.

spin magnetization = 0.00 μB/cell

a = 5.1168 Å, b = 5.1168 Å, c = 5.1168 Å
α = 90.00°, β = 90.00°, γ = 90.00°
Positions (direct):
Pd 0.5000 0.0000 0.0000
Pd 0.0000 0.5000 0.0000
Pd 0.0000 0.0000 0.5000
Ga 0.5000 0.5000 0.5000
Bi 0.0000 0.0000 0.0000



*c*
GaBiPd3: relaxed, GGA-PBE.

spin magnetization = 0.00 μB/cell

a = 5.5363 Å, b = 4.6570 Å, c = 7.7591 Å
α = 107.46°, β = 110.42°, γ = 90.00°
Positions (direct):
Pd 0.8797 0.7991 0.5982
Pd 0.2672 0.0211 0.0423
Pd 0.1203 0.2009 0.4018
Pd 0.3846 0.6429 0.2857
Pd 0.7328 0.9789 0.9577
Pd 0.6154 0.3571 0.7143
Bi 0.8388 0.5871 0.1743
Bi 0.1612 0.4129 0.8257
Ga 0.6260 0.1884 0.3768
Ga 0.3740 0.8116 0.6232



The computed energies, referenced to the most stable structure and given in meV per atom, are *a* 351; *b* 988; *c* 0.



*a*
GaBi2Pd2: relaxed, GGA-PBE.

spin magnetization = 0.00 μB/cell

a = 8.3028 Å, b = 8.3028 Å, c = 3.3146 Å
α = 90.00°, β = 90.00°, γ = 90.00°
Positions (direct):
Ga 0.0000 0.0000 0.0000
Ga 0.5000 0.5000 0.0000
Pd 0.1298 0.6298 0.5000
Pd 0.3702 0.1298 0.5000
Pd 0.8702 0.3702 0.5000
Pd 0.6298 0.8702 0.5000
Bi 0.3388 0.8388 0.0000
Bi 0.8388 0.6612 0.0000
Bi 0.6612 0.1612 0.0000
Bi 0.1612 0.3388 0.0000



*b*
GaBi2Pd2: relaxed, GGA-PBE.

spin magnetization = 0.00 μB/cell

a = 6.8680 Å, b = 6.8680 Å, c = 4.6017 Å
α = 90.00°, β = 90.00°, γ = 90.00°
Positions (direct):
Ga 0.0000 0.0000 0.0000
Ga 0.5000 0.5000 0.0000
Bi 0.3303 0.1697 0.5000
Bi 0.8303 0.3303 0.5000
Bi 0.6697 0.8303 0.5000
Bi 0.1697 0.6697 0.5000
Pd 0.1471 0.3529 0.0000
Pd 0.8529 0.6471 0.0000
Pd 0.3529 0.8529 0.0000
Pd 0.6471 0.1471 0.0000



The computed energies, referenced to the most stable structure and given in meV per atom, are *a* 164; *b* 0.